1.
Here is Na3SnSb after structural relaxation from Alexandria via LeMat-Bulk. Energies are from PBE.

The space group is Ima2 (No. 46) and the conventional cell measures 10.5542, 9.7408 and 6.2711 Å, with angles of 90.00, 90.00 and 90.00 degrees. The asymmetric unit holds Na at (0.0239, 0.2481, 0.0000), Na at (0.2500, 0.0258, 0.2517), Sn at (0.2500, 0.7015, 0.2495) and Sb at (0.2500, 0.0933, 0.7509).

As for the relative energy among the computed polymorphs: 0.0 meV per atom. The value obtained for the formation energy from raw total energies is -18.2 kJ per mole of atoms.


2.
Here is NaSn3Sb after structural relaxation from Alexandria via LeMat-Bulk. Energies are from PBE.

The space group is Pm-3m (No. 221) and the conventional cell measures 5.8390, 5.8390 and 5.8390 Å, with angles of 90.00, 90.00 and 90.00 degrees. The asymmetric unit holds Na at (0.0000, 0.0000, 0.0000), Sn at (0.0000, 0.5000, 0.5000) and Sb at (0.5000, 0.5000, 0.5000).

As for the relative energy among the computed polymorphs: 0.0 meV per atom. The value obtained for the formation energy from raw total energies is 43.3 kJ per mole of atoms.


3.
Here is Na2SnSb3 after structural relaxation from Alexandria via LeMat-Bulk. Energies are from PBE.

The space group is Cmcm (No. 63) and the conventional cell measures 14.7982, 8.4840 and 6.1693 Å, with angles of 90.00, 90.00 and 90.00 degrees. The asymmetric unit holds Na at (0.1713, 0.1599, 0.2500), Sn at (0.0000, 0.3227, 0.7500), Sb at (0.0000, 0.0000, 0.0000) and Sb at (0.1521, 0.5000, 0.0000).

As for the relative energy among the computed polymorphs: 0.0 meV per atom. The value obtained for the formation energy from raw total energies is -11.8 kJ per mole of atoms.


V in Å³/cell, matching the order above: 644.7 199.1 774.5
N(E_F) in states/eV per cell, matching the order above: 4.4 3.9 11.3